Here is crystalline BaCr2FeO8 at its relaxed geometry from Alexandria via LeMat-Bulk. Energies are from PBE with a Hubbard U.

The structure in POSCAR format:
```
BaCr2FeO8
1.0
5.5691 0.0000 0.0000
-2.7845 4.8229 0.0000
0.0000 0.0000 7.3055
O Fe Cr Ba
8 1 2 1
direct
0.8317 0.1691 0.3188
0.6667 0.3333 0.0221
0.3374 0.1683 0.3188
0.1691 0.3374 0.6812
0.8309 0.6626 0.3188
0.3333 0.6667 0.9779
0.1683 0.8309 0.6812
0.6626 0.8317 0.6812
0.0000 0.0000 0.5000
0.3333 0.6667 0.7515
0.6667 0.3333 0.2485
0.0000 0.0000 0.0000
```

Summary:
Its space group is No. 164. The total energy comes out at -6.8492 eV/atom.